{
  "formula": "CePr2Te4",
  "functional": "PBE-GGA",
  "state": "optimized geometry",
  "formation_energy_uncorrected_mev_per_atom": -1378,
  "polymorph_energy_mev_per_atom": 20,
  "m_tot_mub_per_fu": 1.55,
  "e_tot_ev_per_atom": -5.387,
  "cell": [[8.452, -2.262, 0.000], [8.452, 2.262, 0.000], [-3.518, 0.000, 7.076]],
  "species": ["Ce", "Pr", "Pr", "Te", "Te", "Te", "Te"],
  "frac_coords": [[0.000, 0.000, 0.000], [0.262, 0.262, 0.273], [0.738, 0.738, 0.727], [0.122, 0.122, 0.445], [0.368, 0.368, 0.016], [0.632, 0.632, 0.984], [0.878, 0.878, 0.555]]
}



{
  "formula": "CePr3Te4",
  "functional": "PBE-GGA",
  "state": "optimized geometry",
  "formation_energy_uncorrected_mev_per_atom": -1404,
  "polymorph_energy_mev_per_atom": 22,
  "m_tot_mub_per_fu": 1.41,
  "e_tot_ev_per_atom": -5.509,
  "cell": [[4.448, 0.000, 0.000], [-2.224, 3.852, 0.000], [0.000, 0.000, 30.610]],
  "species": ["Ce", "Ce", "Pr", "Pr", "Pr", "Pr", "Pr", "Pr", "Te", "Te", "Te", "Te", "Te", "Te", "Te", "Te"],
  "frac_coords": [[0.333, 0.667, 0.250], [0.667, 0.333, 0.750], [0.000, 0.000, 0.000], [0.000, 0.000, 0.500], [0.333, 0.667, 0.624], [0.333, 0.667, 0.876], [0.667, 0.333, 0.124], [0.667, 0.333, 0.376], [0.000, 0.000, 0.187], [0.000, 0.000, 0.313], [0.000, 0.000, 0.687], [0.000, 0.000, 0.813], [0.333, 0.667, 0.062], [0.333, 0.667, 0.438], [0.667, 0.333, 0.562], [0.667, 0.333, 0.938]]
}



{
  "formula": "Ce4PrTe6",
  "functional": "PBE-GGA",
  "state": "optimized geometry",
  "formation_energy_uncorrected_mev_per_atom": -1260,
  "m_tot_mub_per_fu": 5.66,
  "e_tot_ev_per_atom": -5.565,
  "cell": [[6.408, 3.700, 5.067], [-6.408, 3.700, 5.067], [0.000, -7.399, 5.067]],
  "species": ["Ce", "Ce", "Ce", "Ce", "Ce", "Ce", "Ce", "Ce", "Pr", "Pr", "Te", "Te", "Te", "Te", "Te", "Te", "Te", "Te", "Te", "Te", "Te", "Te"],
  "frac_coords": [[0.143, 0.750, 0.357], [0.250, 0.250, 0.250], [0.250, 0.643, 0.857], [0.357, 0.143, 0.750], [0.643, 0.857, 0.250], [0.750, 0.357, 0.143], [0.750, 0.750, 0.750], [0.857, 0.250, 0.643], [0.000, 0.000, 0.000], [0.500, 0.500, 0.500], [0.060, 0.913, 0.672], [0.087, 0.328, 0.940], [0.172, 0.413, 0.560], [0.328, 0.940, 0.087], [0.413, 0.560, 0.172], [0.440, 0.828, 0.587], [0.560, 0.172, 0.413], [0.587, 0.440, 0.828], [0.672, 0.060, 0.913], [0.828, 0.587, 0.440], [0.913, 0.672, 0.060], [0.940, 0.087, 0.328]]
}



{
  "formula": "Ce5PrTe8",
  "functional": "PBE-GGA",
  "state": "optimized geometry",
  "formation_energy_uncorrected_mev_per_atom": -1405,
  "m_tot_mub_per_fu": 6.97,
  "e_tot_ev_per_atom": -5.661,
  "cell": [[-4.771, 4.771, 4.775], [4.771, -4.771, 4.775], [4.771, 4.771, -4.775]],
  "species": ["Ce", "Ce", "Ce", "Ce", "Ce", "Pr", "Te", "Te", "Te", "Te", "Te", "Te", "Te", "Te"],
  "frac_coords": [[0.000, 0.000, 0.000], [0.249, 0.126, 0.624], [0.375, 0.751, 0.877], [0.501, 0.625, 0.376], [0.874, 0.499, 0.123], [0.750, 0.250, 0.500], [0.125, 0.375, 0.402], [0.126, 0.375, 0.903], [0.277, 0.875, 0.250], [0.472, 0.222, 0.097], [0.625, 0.027, 0.750], [0.625, 0.528, 0.751], [0.778, 0.874, 0.249], [0.973, 0.723, 0.598]]
}



{
  "formula": "Ce2PrTe4",
  "functional": "PBE-GGA",
  "state": "optimized geometry",
  "formation_energy_uncorrected_mev_per_atom": -1355,
  "polymorph_energy_mev_per_atom": 59,
  "m_tot_mub_per_fu": 2.46,
  "e_tot_ev_per_atom": -5.528,
  "cell": [[2.187, -7.432, 0.000], [2.187, 7.432, 0.000], [0.000, 0.000, 15.354]],
  "species": ["Ce", "Ce", "Ce", "Ce", "Pr", "Pr", "Te", "Te", "Te", "Te", "Te", "Te", "Te", "Te"],
  "frac_coords": [[0.135, 0.865, 0.568], [0.135, 0.865, 0.932], [0.865, 0.135, 0.068], [0.865, 0.135, 0.432], [0.379, 0.621, 0.750], [0.621, 0.379, 0.250], [0.037, 0.963, 0.750], [0.221, 0.779, 0.125], [0.221, 0.779, 0.375], [0.500, 0.500, 0.000], [0.500, 0.500, 0.500], [0.779, 0.221, 0.625], [0.779, 0.221, 0.875], [0.963, 0.037, 0.250]]
}



{
  "formula": "Ce6PrTe8",
  "functional": "PBE-GGA",
  "state": "optimized geometry",
  "formation_energy_uncorrected_mev_per_atom": -1395,
  "m_tot_mub_per_fu": 7.34,
  "e_tot_ev_per_atom": -5.763,
  "cell": [[0.000, 6.338, 6.338], [6.338, 0.000, 6.338], [6.338, 6.338, 0.000]],
  "species": ["Ce", "Ce", "Ce", "Ce", "Ce", "Ce", "Pr", "Te", "Te", "Te", "Te", "Te", "Te", "Te", "Te"],
  "frac_coords": [[0.000, 0.000, 0.500], [0.000, 0.500, 0.000], [0.000, 0.500, 0.500], [0.500, 0.000, 0.000], [0.500, 0.000, 0.500], [0.500, 0.500, 0.000], [0.000, 0.000, 0.000], [0.250, 0.250, 0.250], [0.256, 0.256, 0.744], [0.256, 0.744, 0.256], [0.256, 0.744, 0.744], [0.744, 0.256, 0.256], [0.744, 0.256, 0.744], [0.744, 0.744, 0.256], [0.750, 0.750, 0.750]]
}



{
  "formula": "Ce2PrTe5",
  "functional": "PBE-GGA",
  "state": "optimized geometry",
  "formation_energy_uncorrected_mev_per_atom": -550,
  "m_tot_mub_per_fu": 2.64,
  "e_tot_ev_per_atom": -4.594,
  "cell": [[7.561, 0.000, 0.000], [0.000, 7.561, 0.000], [0.000, 0.000, 5.582]],
  "species": ["Ce", "Ce", "Pr", "Te", "Te", "Te", "Te", "Te"],
  "frac_coords": [[0.000, 0.500, 0.000], [0.500, 0.000, 0.000], [0.000, 0.000, 0.500], [0.000, 0.000, 0.000], [0.285, 0.285, 0.500], [0.285, 0.715, 0.500], [0.715, 0.285, 0.500], [0.715, 0.715, 0.500]]
}



{
  "formula": "Ce5PrTe6",
  "functional": "PBE-GGA",
  "state": "optimized geometry",
  "formation_energy_uncorrected_mev_per_atom": -1380,
  "m_tot_mub_per_fu": 5.68,
  "e_tot_ev_per_atom": -5.821,
  "cell": [[3.889, -6.764, 0.000], [3.889, 6.764, 0.000], [-2.607, 0.000, 7.331]],
  "species": ["Ce", "Ce", "Ce", "Ce", "Ce", "Pr", "Te", "Te", "Te", "Te", "Te", "Te"],
  "frac_coords": [[0.000, 0.000, 0.000], [0.166, 0.834, 0.500], [0.334, 0.666, 0.000], [0.666, 0.334, 0.000], [0.834, 0.166, 0.500], [0.500, 0.500, 0.500], [0.081, 0.416, 0.249], [0.248, 0.248, 0.751], [0.416, 0.081, 0.249], [0.584, 0.919, 0.751], [0.752, 0.752, 0.249], [0.919, 0.584, 0.751]]
}



{
  "formula": "CePr4Te5",
  "functional": "PBE-GGA",
  "state": "optimized geometry",
  "formation_energy_uncorrected_mev_per_atom": -1429,
  "m_tot_mub_per_fu": 1.23,
  "e_tot_ev_per_atom": -5.505,
  "cell": [[-2.259, 2.259, 16.038], [2.259, -2.259, 16.038], [2.259, 2.259, -16.038]],
  "species": ["Ce", "Pr", "Pr", "Pr", "Pr", "Te", "Te", "Te", "Te", "Te"],
  "frac_coords": [[0.000, 0.000, 0.000], [0.196, 0.196, 0.000], [0.398, 0.398, 0.000], [0.602, 0.602, 0.000], [0.804, 0.804, 0.000], [0.098, 0.098, 0.000], [0.298, 0.298, 0.000], [0.500, 0.500, 0.000], [0.702, 0.702, 0.000], [0.902, 0.902, 0.000]]
}



{
  "formula": "Ce2Pr3Te8",
  "functional": "PBE-GGA",
  "state": "optimized geometry",
  "formation_energy_uncorrected_mev_per_atom": -1242,
  "m_tot_mub_per_fu": 1.36,
  "e_tot_ev_per_atom": -5.191,
  "cell": [[5.446, -7.737, 0.000], [5.446, 7.737, 0.000], [0.000, 0.000, 5.419]],
  "species": ["Ce", "Ce", "Pr", "Pr", "Pr", "Te", "Te", "Te", "Te", "Te", "Te", "Te", "Te"],
  "frac_coords": [[0.240, 0.760, 0.000], [0.760, 0.240, 0.000], [0.222, 0.222, 0.500], [0.500, 0.500, 0.000], [0.778, 0.778, 0.500], [0.133, 0.384, 0.000], [0.133, 0.867, 0.500], [0.380, 0.620, 0.500], [0.384, 0.133, 0.000], [0.616, 0.867, 0.000], [0.620, 0.380, 0.500], [0.867, 0.133, 0.500], [0.867, 0.616, 0.000]]
}



{
  "formula": "Ce3Pr5Te8",
  "functional": "PBE-GGA",
  "state": "optimized geometry",
  "formation_energy_uncorrected_mev_per_atom": -1418,
  "m_tot_mub_per_fu": 3.58,
  "e_tot_ev_per_atom": -5.595,
  "cell": [[4.506, 2.601, 7.416], [-4.506, 2.601, 7.416], [0.000, -5.203, 7.416]],
  "species": ["Ce", "Ce", "Ce", "Pr", "Pr", "Pr", "Pr", "Pr", "Te", "Te", "Te", "Te", "Te", "Te", "Te", "Te"],
  "frac_coords": [[0.000, 0.500, 0.500], [0.500, 0.000, 0.500], [0.500, 0.500, 0.000], [0.000, 0.000, 0.000], [0.000, 0.000, 0.500], [0.000, 0.500, 0.000], [0.500, 0.000, 0.000], [0.500, 0.500, 0.500], [0.250, 0.250, 0.748], [0.250, 0.748, 0.250], [0.251, 0.251, 0.251], [0.252, 0.750, 0.750], [0.748, 0.250, 0.250], [0.749, 0.749, 0.749], [0.750, 0.252, 0.750], [0.750, 0.750, 0.252]]
}



{
  "formula": "CePrTe",
  "functional": "PBE-GGA",
  "state": "optimized geometry",
  "formation_energy_uncorrected_mev_per_atom": -678,
  "polymorph_energy_mev_per_atom": 0,
  "m_tot_mub_per_fu": 1.30,
  "e_tot_ev_per_atom": -5.296,
  "cell": [[-2.012, 2.012, 5.882], [2.012, -2.012, 5.882], [2.012, 2.012, -5.882]],
  "species": ["Ce", "Pr", "Te"],
  "frac_coords": [[0.000, 0.000, 0.000], [0.703, 0.703, 0.000], [0.353, 0.353, 0.000]]
}



{
  "formula": "Ce5Pr3Te8",
  "functional": "PBE-GGA",
  "state": "optimized geometry",
  "formation_energy_uncorrected_mev_per_atom": -1400,
  "m_tot_mub_per_fu": 5.82,
  "e_tot_ev_per_atom": -5.721,
  "cell": [[4.494, 2.595, 7.400], [-4.494, 2.595, 7.400], [0.000, -5.189, 7.400]],
  "species": ["Ce", "Ce", "Ce", "Ce", "Ce", "Pr", "Pr", "Pr", "Te", "Te", "Te", "Te", "Te", "Te", "Te", "Te"],
  "frac_coords": [[0.000, 0.000, 0.000], [0.000, 0.500, 0.500], [0.500, 0.000, 0.500], [0.500, 0.500, 0.000], [0.500, 0.500, 0.500], [0.000, 0.000, 0.500], [0.000, 0.500, 0.000], [0.500, 0.000, 0.000], [0.250, 0.250, 0.748], [0.250, 0.748, 0.250], [0.251, 0.251, 0.251], [0.252, 0.750, 0.750], [0.748, 0.250, 0.250], [0.749, 0.749, 0.749], [0.750, 0.252, 0.750], [0.750, 0.750, 0.252]]
}



{
  "formula": "CePr2Te5",
  "functional": "PBE-GGA",
  "state": "optimized geometry",
  "formation_energy_uncorrected_mev_per_atom": -616,
  "m_tot_mub_per_fu": 0.00,
  "e_tot_ev_per_atom": -4.516,
  "cell": [[7.620, 0.000, 0.000], [0.000, 7.620, 0.000], [0.000, 0.000, 5.403]],
  "species": ["Ce", "Pr", "Pr", "Te", "Te", "Te", "Te", "Te"],
  "frac_coords": [[0.000, 0.000, 0.000], [0.000, 0.500, 0.500], [0.500, 0.000, 0.500], [0.000, 0.000, 0.500], [0.278, 0.278, 0.000], [0.278, 0.722, 0.000], [0.722, 0.278, 0.000], [0.722, 0.722, 0.000]]
}



{
  "formula": "Ce2Pr2Te7",
  "functional": "PBE-GGA",
  "state": "optimized geometry",
  "formation_energy_uncorrected_mev_per_atom": -1106,
  "m_tot_mub_per_fu": 0.29,
  "e_tot_ev_per_atom": -5.053,
  "cell": [[5.078, -5.572, 0.000], [5.078, 5.572, 0.000], [0.000, 0.000, 7.604]],
  "species": ["Ce", "Ce", "Pr", "Pr", "Te", "Te", "Te", "Te", "Te", "Te", "Te"],
  "frac_coords": [[0.232, 0.768, 0.000], [0.768, 0.232, 0.000], [0.230, 0.230, 0.500], [0.770, 0.770, 0.500], [0.000, 0.000, 0.238], [0.000, 0.000, 0.762], [0.000, 0.500, 0.259], [0.000, 0.500, 0.741], [0.500, 0.000, 0.259], [0.500, 0.000, 0.741], [0.500, 0.500, 0.000]]
}



{
  "formula": "CePrTe6",
  "functional": "PBE-GGA",
  "state": "optimized geometry",
  "formation_energy_uncorrected_mev_per_atom": -992,
  "m_tot_mub_per_fu": 0.48,
  "e_tot_ev_per_atom": -4.687,
  "cell": [[4.418, 0.000, 0.000], [0.000, 2.209, 13.499], [0.000, -2.209, 13.499]],
  "species": ["Ce", "Pr", "Te", "Te", "Te", "Te", "Te", "Te"],
  "frac_coords": [[0.000, 0.000, 0.000], [0.500, 0.342, 0.342], [0.000, 0.247, 0.247], [0.000, 0.591, 0.591], [0.000, 0.879, 0.879], [0.500, 0.091, 0.091], [0.500, 0.466, 0.466], [0.500, 0.747, 0.747]]
}



{
  "formula": "Ce2PrTe3",
  "functional": "PBE-GGA",
  "state": "optimized geometry",
  "formation_energy_uncorrected_mev_per_atom": -1395,
  "m_tot_mub_per_fu": 2.41,
  "e_tot_ev_per_atom": -5.741,
  "cell": [[7.154, -3.186, 0.000], [7.154, 3.186, 0.000], [-2.808, 0.000, 8.514]],
  "species": ["Ce", "Ce", "Ce", "Ce", "Pr", "Pr", "Te", "Te", "Te", "Te", "Te", "Te"],
  "frac_coords": [[0.165, 0.166, 0.083], [0.166, 0.165, 0.583], [0.834, 0.835, 0.417], [0.835, 0.834, 0.917], [0.499, 0.501, 0.750], [0.501, 0.499, 0.250], [0.001, 0.999, 0.250], [0.331, 0.331, 0.416], [0.331, 0.331, 0.916], [0.669, 0.669, 0.084], [0.669, 0.669, 0.584], [0.999, 0.001, 0.750]]
}



{
  "formula": "CePrTe",
  "functional": "PBE-GGA",
  "state": "optimized geometry",
  "formation_energy_uncorrected_mev_per_atom": -466,
  "polymorph_energy_mev_per_atom": 213,
  "m_tot_mub_per_fu": 1.66,
  "e_tot_ev_per_atom": -5.084,
  "cell": [[4.952, 0.000, 0.000], [-2.476, 4.288, 0.000], [0.000, 0.000, 4.862]],
  "species": ["Ce", "Pr", "Te"],
  "frac_coords": [[0.000, 0.000, 0.000], [0.333, 0.667, 0.481], [0.667, 0.333, 0.747]]
}



{
  "formula": "CePr4Te5",
  "functional": "PBE-GGA",
  "state": "optimized geometry",
  "formation_energy_uncorrected_mev_per_atom": -1431,
  "m_tot_mub_per_fu": 1.11,
  "e_tot_ev_per_atom": -5.507,
  "cell": [[-5.055, 5.055, 3.202], [5.055, -5.055, 3.202], [5.055, 5.055, -3.202]],
  "species": ["Ce", "Pr", "Pr", "Pr", "Pr", "Te", "Te", "Te", "Te", "Te"],
  "frac_coords": [[0.000, 0.000, 0.000], [0.200, 0.405, 0.603], [0.405, 0.802, 0.206], [0.596, 0.200, 0.794], [0.802, 0.596, 0.397], [0.101, 0.705, 0.804], [0.297, 0.101, 0.396], [0.500, 0.500, 0.000], [0.705, 0.901, 0.604], [0.901, 0.297, 0.196]]
}



{
  "formula": "Ce4Pr3Te8",
  "functional": "PBE-GGA",
  "state": "optimized geometry",
  "formation_energy_uncorrected_mev_per_atom": -1417,
  "m_tot_mub_per_fu": 5.09,
  "e_tot_ev_per_atom": -5.631,
  "cell": [[6.363, -6.366, 0.000], [6.363, 6.366, 0.000], [-6.360, 0.000, 6.366]],
  "species": ["Ce", "Ce", "Ce", "Ce", "Pr", "Pr", "Pr", "Te", "Te", "Te", "Te", "Te", "Te", "Te", "Te"],
  "frac_coords": [[0.000, 0.000, 0.000], [0.000, 0.500, 0.000], [0.500, 0.000, 0.000], [0.500, 0.500, 0.500], [0.000, 0.500, 0.500], [0.500, 0.000, 0.500], [0.500, 0.500, 0.000], [0.244, 0.244, 0.498], [0.244, 0.244, 0.991], [0.246, 0.754, 0.500], [0.249, 0.751, 0.000], [0.751, 0.249, 0.000], [0.754, 0.246, 0.500], [0.756, 0.756, 0.009], [0.756, 0.756, 0.502]]
}